A plane-wave DFT calculation with PBE with a Hubbard U was carried out for an optimized crystal structure of Li3V3FeO8.

Calculated values
Size of the total moment   6.0 Bohr magnetons per cell
Crystal system   monoclinic
Raw total energy   -6.770 eV/atom
Space group   C2/m

a b c (Å): 5.8777 5.8777 5.9784
angles (deg): 119.64 119.64 60.57
Element x y z (fractional)
Li (0.0000, 0.0000, 0.0000)
Li (0.0000, 0.5000, 0.0000)
Li (0.5000, 0.0000, 0.0000)
V (0.0000, 0.5000, 0.5000)
V (0.5000, 0.0000, 0.5000)
V (0.5000, 0.5000, 0.5000)
Fe (0.0000, 0.0000, 0.5000)
O (0.2354, 0.2354, 0.7131)
O (0.2410, 0.7488, 0.7172)
O (0.2512, 0.7590, 0.2828)
O (0.2644, 0.2644, 0.2705)
O (0.7356, 0.7356, 0.7295)
O (0.7488, 0.2410, 0.7172)
O (0.7590, 0.2512, 0.2828)
O (0.7645, 0.7645, 0.2869)